# 1
VASP calculation (PBE) on a relaxed SrLaSc2 crystal.

Relative energy among the computed polymorphs, eV/atom: 0.090
Space-group type: No. 166
DFT formation energy, eV per atom: 0.242
DFT total energy, eV per formula unit: -18.30
Crystal system: trigonal

a = 11.757 Å, b = 11.757 Å, c = 11.757 Å
α = 17.55°, β = 17.55°, γ = 17.55°
Sites, in units of the cell vectors:
Sr (0.000, 0.000, 0.000)
La (0.500, 0.500, 0.500)
Sc (0.244, 0.244, 0.244)
Sc (0.756, 0.756, 0.756)

***

# 2
VASP calculation (PBE) on a relaxed SrLaSc2 crystal.

Relative energy among the computed polymorphs, eV/atom: 0.000
Space-group type: No. 99
DFT formation energy, eV per atom: 0.152
DFT total energy, eV per formula unit: -18.66
Crystal system: tetragonal

a = 3.877 Å, b = 3.877 Å, c = 9.105 Å
α = 90.00°, β = 90.00°, γ = 90.00°
Sites, in units of the cell vectors:
Sr (0.000, 0.000, 0.000)
La (0.500, 0.500, 0.333)
Sc (0.000, 0.000, 0.556)
Sc (0.500, 0.500, 0.724)

***

# 3
VASP calculation (PBE) on a relaxed SrLaSc2 crystal.

Relative energy among the computed polymorphs, eV/atom: 0.072
Space-group type: No. 123
DFT formation energy, eV per atom: 0.224
DFT total energy, eV per formula unit: -18.38
Crystal system: tetragonal

a = 3.680 Å, b = 3.680 Å, c = 9.804 Å
α = 90.00°, β = 90.00°, γ = 90.00°
Sites, in units of the cell vectors:
Sr (0.000, 0.000, 0.000)
La (0.000, 0.000, 0.500)
Sc (0.500, 0.500, 0.277)
Sc (0.500, 0.500, 0.723)

***

# 4
VASP calculation (PBE) on a relaxed SrLaSc crystal.

Relative energy among the computed polymorphs, eV/atom: 0.625
Space-group type: No. 216
DFT formation energy, eV per atom: 0.739
DFT total energy, eV per formula unit: -10.72
Crystal system: cubic

a = 5.679 Å, b = 5.679 Å, c = 5.679 Å
α = 60.00°, β = 60.00°, γ = 60.00°
Sites, in units of the cell vectors:
Sr (0.000, 0.000, 0.000)
La (0.500, 0.500, 0.500)
Sc (0.750, 0.750, 0.750)

***

# 5
VASP calculation (PBE) on a relaxed SrLaSc2 crystal.

Relative energy among the computed polymorphs, eV/atom: 0.113
Space-group type: No. 123
DFT formation energy, eV per atom: 0.265
DFT total energy, eV per formula unit: -18.21
Crystal system: tetragonal

a = 5.730 Å, b = 5.730 Å, c = 3.976 Å
α = 90.00°, β = 90.00°, γ = 90.00°
Sites, in units of the cell vectors:
Sr (0.000, 0.000, 0.000)
La (0.500, 0.500, 0.000)
Sc (0.000, 0.500, 0.500)
Sc (0.500, 0.000, 0.500)

***

# 6
VASP calculation (PBE) on a relaxed Sr2LaSc2 crystal.

Relative energy among the computed polymorphs, eV/atom: 0.159
Space-group type: No. 139
DFT formation energy, eV per atom: 0.555
DFT total energy, eV per formula unit: -18.18
Crystal system: tetragonal

a = 8.909 Å, b = 8.909 Å, c = 8.909 Å
α = 148.36°, β = 148.36°, γ = 45.36°
Sites, in units of the cell vectors:
Sr (0.250, 0.750, 0.500)
Sr (0.750, 0.250, 0.500)
La (0.000, 0.000, 0.000)
Sc (0.417, 0.417, 0.000)
Sc (0.583, 0.583, 0.000)